FeSiHg2 | PBE | optimized geometry

The structure in POSCAR format:
```
FeSiHg2
1.0
5.251 0.085 0.000
2.053 4.834 0.000
-3.652 -2.460 2.863
Si Fe Hg
1 1 2
Cartesian
3.652 2.460 0.000
2.626 0.043 1.431
0.000 0.000 0.000
1.026 2.417 1.431
```

Results
The volume is 72.2 Å³/cell. The total energy comes out at -3.04 eV per atom. Its space group is I-4m2 (119). Its uncorrected formation energy is 0.579 eV per atom. As for the total magnetization: 2.5 Bohr magnetons per cell.

LiCdSn | PBE | optimized geometry

The structure in POSCAR format:
```
LiCdSn
1.0
-2.760 3.730 0.984
-4.084 -0.621 2.331
-0.432 1.516 4.473
Li Sn Cd
1 1 1
Cartesian
-3.638 2.313 3.894
-1.819 1.156 1.947
0.000 0.000 0.000
```

Results
The volume is 75.5 Å³/cell. The total energy comes out at -2.42 eV per atom. Its space group is F-43m (216). The formation energy comes out at -0.4 eV per formula unit. As for the total magnetization: 0.0 Bohr magnetons per cell.

AlInS2Cl | PBE | optimized geometry

The structure in POSCAR format:
```
AlInS2Cl
1.0
-4.518 -0.761 2.151
2.198 -0.166 4.556
-0.629 5.118 0.490
S Cl Al In
2 1 1 1
Cartesian
-2.259 -0.381 1.076
1.099 -0.083 2.278
-0.315 2.559 0.245
-1.475 2.095 3.599
0.000 0.000 0.000
```

Results
The volume is 132.7 Å³/cell. The total energy comes out at -3.27 eV per atom. The polymorph energy (0 for the lowest one) is 576.8 meV per atom. Its space group is P4/mmm (123). Its uncorrected formation energy is 0.047 eV per atom. As for the total magnetization: 0.0 Bohr magnetons per cell.

Cd2CoTe | PBE | optimized geometry

The structure in POSCAR format:
```
Cd2CoTe
1.0
4.092 0.000 0.000
0.000 4.092 0.000
2.046 2.046 10.448
Cd Co Te
4 2 2
Cartesian
5.115 5.029 7.836
2.983 1.023 2.612
1.109 3.069 2.612
3.069 3.155 7.836
2.046 4.092 5.224
2.046 2.046 0.000
4.092 2.046 5.224
0.000 0.000 0.000
```

Results
The volume is 175.0 Å³/cell. The total energy comes out at -2.67 eV per atom. Its space group is I-42d (122). Its uncorrected formation energy is 0.350 eV per atom. As for the total magnetization: 3.2 Bohr magnetons per cell.

GeAu2C2 | PBE | optimized geometry

The structure in POSCAR format:
```
GeAu2C2
1.0
3.756 0.000 0.000
0.000 3.756 0.000
1.878 1.878 5.334
C Au Ge
2 2 1
Cartesian
1.878 3.756 2.667
3.756 1.878 2.667
3.756 3.756 3.901
1.878 1.878 1.433
0.000 0.000 0.000
```

Results
The volume is 75.3 Å³/cell. The total energy comes out at -4.13 eV per atom. The polymorph energy (0 for the lowest one) is 0.0 meV per atom. Its space group is I4/mmm (139). The formation energy comes out at 9.0 eV per formula unit. As for the total magnetization: 0.0 Bohr magnetons per cell.

PdRuPt2 | PBE | optimized geometry

The structure in POSCAR format:
```
PdRuPt2
1.0
-5.063 -4.167 2.557
-2.439 -1.037 -6.520
-2.121 -4.747 -2.250
Pt Pd Ru
4 2 2
Cartesian
-4.441 -5.527 -3.271
-3.924 -3.858 0.182
-8.119 -8.098 -5.057
-2.763 -2.418 -4.279
0.000 0.000 0.000
-5.468 -5.758 -0.837
-4.156 -4.193 -5.375
-3.751 -2.602 -1.981
```

Results
The volume is 134.1 Å³/cell. The total energy comes out at -6.16 eV per atom. The polymorph energy (0 for the lowest one) is 493.8 meV per atom. Its space group is I-42d (122). The formation energy comes out at 1.9 eV per formula unit. As for the total magnetization: 1.8 Bohr magnetons per cell.